BiTePd2: optimized geometry, PBE-GGA. Values from VASP.

- space group = No. 57
- raw total energy (eV per atom) = -4.75

Geometry as Quantum ESPRESSO input:
```
&SYSTEM
  ibrav = 0, nat = 16, ntyp = 3
/
ATOMIC_SPECIES
Bi 208.98 Bi.upf
Te 127.60 Te.upf
Pd 106.42 Pd.upf
CELL_PARAMETERS angstrom
8.5257 0.0000 0.0000
0.0000 7.3625 0.0000
0.0000 0.0000 5.7314
ATOMIC_POSITIONS crystal
Bi 0.1210 0.0922 0.2500
Bi 0.1210 0.4078 0.7500
Bi 0.8790 0.5922 0.2500
Bi 0.8790 0.9078 0.7500
Te 0.3718 0.5720 0.2500
Te 0.3718 0.9280 0.7500
Te 0.6282 0.0720 0.2500
Te 0.6282 0.4280 0.7500
Pd 0.1392 0.7500 0.0000
Pd 0.1392 0.7500 0.5000
Pd 0.3864 0.2500 0.0000
Pd 0.3864 0.2500 0.5000
Pd 0.6136 0.7500 0.0000
Pd 0.6136 0.7500 0.5000
Pd 0.8608 0.2500 0.0000
Pd 0.8608 0.2500 0.5000
```